! PBE Na3Cu2H4Cl2, optimized geometry; values from VASP
! final energy = -3.16 eV per atom
! magnetic moment = 0.00 μB per formula unit
&SYSTEM
  ibrav = 0, nat = 11, ntyp = 4
/
ATOMIC_SPECIES
Na 22.99 Na.upf
Cu 63.55 Cu.upf
H 1.01 H.upf
Cl 35.45 Cl.upf
ATOMIC_POSITIONS angstrom
Na 0.0000 0.0000 0.0000
Na -2.2986 -1.5673 2.5955
Na -4.2264 -5.5359 4.3759
Cu -5.9384 -4.0493 6.7056
Cu -0.5866 -3.0540 0.2659
H -4.8060 -5.3969 7.1448
H -6.7798 -5.1573 5.5414
H 0.2549 -1.9459 1.4300
H -1.7189 -1.7064 -0.1733
Cl -4.4005 -3.0006 4.9691
Cl -2.1244 -4.1026 2.0024
CELL_PARAMETERS angstrom
-1.4768 -2.0756 -2.5612
2.4709 -2.5546 0.6456
-7.5191 -2.4731 8.8871